# Cu8SnPd6 (PBE, optimized geometry)
data_Cu8SnPd6
_chemical_formula_sum 'Cu24 Sn3 Pd18'
_symmetry_space_group_name_H-M 'R -3'
_symmetry_Int_Tables_number 148
_symmetry_space_group_name_Hall '-R 3'
_cell_length_a 7.0738
_cell_length_b 7.0738
_cell_length_c 15.4635
_cell_angle_alpha 90.00
_cell_angle_beta 90.00
_cell_angle_gamma 120.00
loop_
_atom_site_label
_atom_site_fract_x
_atom_site_fract_y
_atom_site_fract_z
Cu1 0.0000 0.0000 0.2365
Cu2 0.0061 0.3276 0.8637
Sn1 0.0000 0.0000 0.0000
Pd1 0.0245 0.7725 0.6282
# ΔH_f (0 K)	-0.0073	eV per atom
# electronic total energy	-4.5360	eV/atom
# density of states at the Fermi level	13.30	states/eV/cell

***

# CuSn3Pd12 (PBE, optimized geometry)
data_CuSn3Pd12
_chemical_formula_sum 'Cu1 Sn3 Pd12'
_symmetry_space_group_name_H-M 'P 4/m m m'
_symmetry_Int_Tables_number 123
_symmetry_space_group_name_Hall '-P 4 2'
_cell_length_a 4.029
_cell_length_b 4.029
_cell_length_c 15.873
_cell_angle_alpha 90.00
_cell_angle_beta 90.00
_cell_angle_gamma 90.00
loop_
_atom_site_label
_atom_site_fract_x
_atom_site_fract_y
_atom_site_fract_z
Cu1 0.000 0.000 0.000
Sn1 0.000 0.000 0.242
Sn2 0.000 0.000 0.500
Pd1 0.000 0.500 0.118
Pd2 0.000 0.500 0.372
Pd3 0.500 0.500 0.000
Pd4 0.500 0.500 0.246
Pd5 0.500 0.500 0.500
# ΔH_f (0 K)	-0.3761	eV per atom
# electronic total energy	-5.2772	eV/atom
# density of states at the Fermi level	14.50	states/eV/cell

***

# CuSnPd3 (PBE, optimized geometry)
data_CuSnPd3
_chemical_formula_sum 'Cu1 Sn1 Pd3'
_symmetry_space_group_name_H-M 'P m -3 m'
_symmetry_Int_Tables_number 221
_symmetry_space_group_name_Hall '-P 4 2 3'
_cell_length_a 4.609
_cell_length_b 4.609
_cell_length_c 4.609
_cell_angle_alpha 90.00
_cell_angle_beta 90.00
_cell_angle_gamma 90.00
loop_
_atom_site_label
_atom_site_fract_x
_atom_site_fract_y
_atom_site_fract_z
Cu1 0.000 0.000 0.000
Sn1 0.500 0.500 0.500
Pd1 0.000 0.000 0.500
# ΔH_f (0 K)	0.3936	eV per atom
# electronic total energy	-4.3419	eV/atom
# density of states at the Fermi level	4.29	states/eV/cell
# energy above the most stable polymorph in this dataset	766	meV/atom

***

# CuSnPd3 (PBE, optimized geometry)
data_CuSnPd3
_chemical_formula_sum 'Cu2 Sn2 Pd6'
_symmetry_space_group_name_H-M 'P -1'
_symmetry_Int_Tables_number 2
_cell_length_a 4.620
_cell_length_b 4.621
_cell_length_c 7.916
_cell_angle_alpha 73.11
_cell_angle_beta 86.34
_cell_angle_gamma 77.88
loop_
_symmetry_equiv_pos_as_xyz
'x,y,z'
'-x,-y,-z'
loop_
_atom_site_label
_atom_site_fract_x
_atom_site_fract_y
_atom_site_fract_z
Cu1 0.250 0.146 0.211
Sn1 0.250 0.353 0.795
Pd1 0.249 0.946 0.608
Pd2 0.251 0.557 0.388
Pd3 0.251 0.751 0.999
# ΔH_f (0 K)	-0.3726	eV per atom
# electronic total energy	-5.1081	eV/atom
# density of states at the Fermi level	3.49	states/eV/cell
# energy above the most stable polymorph in this dataset	0	meV/atom